[1]
Here is crystalline ReSbPt2 at its relaxed geometry from the Alexandria database. Energies are from GGA-PBE.

Structure (extended XYZ):
```
4
Lattice="-8.0637 -4.2074 0.1180 -6.5194 -6.1582 -1.5212 -6.4059 -6.2923 1.4532" Properties=species:S:1:pos:R:3 pbc="T T T"
Pt -5.1737 -4.1061 0.0123
Pt -20.9812 -16.6517 0.0499
Sb -15.7558 -12.5045 0.0375
Re -10.5615 -8.3821 0.0251
```

Values from the calculation:
SG	No. 160
energy relative to the elements, uncorrected	315	meV/atom

***

[2]
Here is crystalline ReSbPt2 at its relaxed geometry from the Alexandria database. Energies are from GGA-PBE.

Structure (extended XYZ):
```
4
Lattice="5.0475 0.0061 0.0000 1.8588 4.6928 0.0000 -3.4532 -2.3494 2.8343" Properties=species:S:1:pos:R:3 pbc="T T T"
Pt 0.0000 0.0000 0.0000
Pt 3.4532 2.3494 0.0000
Sb 2.5237 0.0030 1.4171
Re 0.9294 2.3464 1.4171
```

Values from the calculation:
SG	No. 139
energy relative to the elements, uncorrected	307	meV/atom

***

[3]
Here is crystalline Re2SbPt at its relaxed geometry from the Alexandria database. Energies are from GGA-PBE.

Structure (extended XYZ):
```
4
Lattice="4.9070 -0.0018 0.0132 4.0017 2.8398 0.0132 0.6376 0.2031 4.7637" Properties=species:S:1:pos:R:3 pbc="T T T"
Re 7.0705 2.2524 3.7236
Re 0.6843 0.2180 4.6882
Sb 4.7337 1.5080 2.3755
Pt 2.4685 0.7864 1.1614
```

Values from the calculation:
SG	No. 8
energy relative to the elements, uncorrected	343	meV/atom

***

[4]
Here is crystalline ReSb3Pt at its relaxed geometry from the Alexandria database. Energies are from GGA-PBE.

Structure (extended XYZ):
```
5
Lattice="-1.2494 2.9583 3.9645 -2.7295 -3.8225 1.9920 4.1253 -1.6332 2.5187" Properties=species:S:1:pos:R:3 pbc="T T T"
Pt 0.0732 -1.2487 4.2377
Sb -0.6247 1.4791 1.9823
Sb -1.3648 -1.9112 0.9960
Sb 2.0627 -0.8166 1.2594
Re 0.0000 0.0000 0.0000
```

Values from the calculation:
SG	No. 221
offset from the most stable computed form	0.0000	eV per atom
energy relative to the elements, uncorrected	845	meV/atom

***

[5]
Here is crystalline ReSbPt2 at its relaxed geometry from the Alexandria database. Energies are from GGA-PBE.

Structure (extended XYZ):
```
4
Lattice="3.0645 0.0000 0.0000 0.0000 3.6704 0.0000 0.0000 0.0000 6.0730" Properties=species:S:1:pos:R:3 pbc="T T T"
Pt 1.5323 1.8352 1.5831
Pt 0.0000 0.0000 0.0887
Sb 1.5323 1.8352 4.5737
Re 0.0000 0.0000 2.8640
```

Values from the calculation:
SG	No. 25
energy relative to the elements, uncorrected	229	meV/atom

***

[6]
Here is crystalline Re2SbPt at its relaxed geometry from the Alexandria database. Energies are from GGA-PBE.

Structure (extended XYZ):
```
4
Lattice="3.1856 0.0000 0.0000 0.0000 3.1856 0.0000 0.0000 0.0000 6.4787" Properties=species:S:1:pos:R:3 pbc="T T T"
Re 0.0000 0.0000 6.4545
Re 0.0000 0.0000 3.2636
Pt 1.5928 1.5928 4.8590
Sb 1.5928 1.5928 1.6197
```

Values from the calculation:
SG	No. 123
energy relative to the elements, uncorrected	533	meV/atom

***

[7]
Here is crystalline Re2SbPt at its relaxed geometry from the Alexandria database. Energies are from GGA-PBE.

Structure (extended XYZ):
```
4
Lattice="3.1624 0.0000 0.0000 0.0000 4.4615 0.0000 0.0000 0.0000 4.7802" Properties=species:S:1:pos:R:3 pbc="T T T"
Re 1.5812 2.2308 0.0000
Re 0.0000 0.0000 0.0000
Pt 0.0000 2.2308 2.3901
Sb 1.5812 0.0000 2.3901
```

Values from the calculation:
SG	No. 47
energy relative to the elements, uncorrected	558	meV/atom

***

[8]
Here is crystalline Re2SbPt at its relaxed geometry from the Alexandria database. Energies are from GGA-PBE.

Structure (extended XYZ):
```
4
Lattice="-3.7470 -3.1673 7.4063 -2.1416 -5.5274 6.6171 -0.8944 -3.3442 8.1818" Properties=species:S:1:pos:R:3 pbc="T T T"
Pt -5.0873 -9.0292 16.6539
Re -6.7827 -12.0384 22.2040
Re -3.3919 -6.0201 11.1037
Sb -1.6958 -3.0097 5.5513
```

Values from the calculation:
SG	No. 166
energy relative to the elements, uncorrected	517	meV/atom

***

[9]
Here is crystalline ReSb4Pt at its relaxed geometry from the Alexandria database. Energies are from GGA-PBE.

Structure (extended XYZ):
```
6
Lattice="-0.9532 -5.4576 -2.1449 2.0846 -4.7413 2.9102 -3.7573 -3.6690 2.7778" Properties=species:S:1:pos:R:3 pbc="T T T"
Sb -2.8606 -7.0348 2.7158
Sb -1.4611 -7.9275 0.2589
Sb -0.9853 -5.2036 1.3295
Sb 0.0551 -7.5700 2.7819
Pt -1.9695 -10.4010 2.6573
Re 0.0000 0.0000 0.0000
```

Values from the calculation:
SG	No. 216
energy relative to the elements, uncorrected	1334	meV/atom

***

[10]
Here is crystalline ReSbPt2 at its relaxed geometry from the Alexandria database. Energies are from GGA-PBE.

Structure (extended XYZ):
```
4
Lattice="3.9244 0.0000 0.0000 0.0000 3.9373 0.0000 0.0000 0.0000 4.3052" Properties=species:S:1:pos:R:3 pbc="T T T"
Sb 0.0000 1.9686 2.1526
Re 1.9622 0.0000 2.1526
Pt 0.0000 0.0000 0.0000
Pt 1.9622 1.9686 0.0000
```

Values from the calculation:
SG	No. 47
energy relative to the elements, uncorrected	194	meV/atom

***

[11]
Here is crystalline ReSb3Pt at its relaxed geometry from the Alexandria database. Energies are from GGA-PBE.

Structure (extended XYZ):
```
5
Lattice="5.1718 0.0000 0.0000 0.0000 5.1718 0.0000 0.0000 0.0000 5.1718" Properties=species:S:1:pos:R:3 pbc="T T T"
Sb 0.0000 0.0000 2.5859
Sb 0.0000 2.5859 0.0000
Sb 2.5859 0.0000 0.0000
Re 2.5859 2.5859 2.5859
Pt 0.0000 0.0000 0.0000
```

Values from the calculation:
SG	No. 221
offset from the most stable computed form	0.4614	eV per atom
energy relative to the elements, uncorrected	1307	meV/atom

***

[12]
Here is crystalline Re2SbPt at its relaxed geometry from the Alexandria database. Energies are from GGA-PBE.

Structure (extended XYZ):
```
4
Lattice="-4.3136 2.1221 0.6106 0.0965 -0.9311 3.9181 1.7721 3.4946 0.3739" Properties=species:S:1:pos:R:3 pbc="T T T"
Pt -0.7554 2.9836 3.5243
Re 1.0414 1.5520 1.9629
Re 1.6650 3.2243 0.5570
Sb -1.6897 1.7019 1.3783
```

Values from the calculation:
SG	No. 10
energy relative to the elements, uncorrected	451	meV/atom

***

[13]
Here is crystalline Re2SbPt at its relaxed geometry from the Alexandria database. Energies are from GGA-PBE.

Structure (extended XYZ):
```
4
Lattice="2.9834 0.0000 0.0000 0.0000 2.9834 0.0000 0.0000 0.0000 7.6854" Properties=species:S:1:pos:R:3 pbc="T T T"
Sb 0.0000 0.0000 3.7712
Re 0.0000 0.0000 0.1421
Re 1.4917 1.4917 1.7137
Pt 1.4917 1.4917 5.9009
```

Values from the calculation:
SG	No. 99
energy relative to the elements, uncorrected	229	meV/atom

***

[14]
Here is crystalline ReSbPt2 at its relaxed geometry from the Alexandria database. Energies are from GGA-PBE.

Structure (extended XYZ):
```
4
Lattice="5.5439 0.0055 0.0081 2.7364 4.8215 -0.0081 -3.5535 -3.4199 2.5322" Properties=species:S:1:pos:R:3 pbc="T T T"
Pt 0.0086 0.0050 0.0000
Pt 4.1315 2.4085 0.0000
Sb 1.6615 1.9076 1.2620
Re 3.0653 -0.5004 1.2702
```

Values from the calculation:
SG	No. 71
energy relative to the elements, uncorrected	309	meV/atom

***

[15]
Here is crystalline Re2SbPt at its relaxed geometry from the Alexandria database. Energies are from GGA-PBE.

Structure (extended XYZ):
```
4
Lattice="4.8194 0.0025 0.0070 3.9181 2.8063 0.0070 1.1991 0.3855 4.9975" Properties=species:S:1:pos:R:3 pbc="T T T"
Re 4.8859 1.5707 2.3374
Re 0.0824 0.0265 0.1683
Pt 2.4842 0.7986 1.2528
Sb 7.4525 2.3957 3.7585
```

Values from the calculation:
SG	No. 12
energy relative to the elements, uncorrected	392	meV/atom

***

[16]
Here is crystalline ReSbPt2 at its relaxed geometry from the Alexandria database. Energies are from GGA-PBE.

Structure (extended XYZ):
```
4
Lattice="-1.1928 -2.7872 0.2432 4.0454 -1.5895 1.6243 1.4435 -0.1322 5.5642" Properties=species:S:1:pos:R:3 pbc="T T T"
Pt 1.4263 -2.1883 0.9338
Pt 0.0000 0.0000 0.0000
Re 2.1480 -2.2544 3.7159
Sb 0.7217 -0.0661 2.7821
```

Values from the calculation:
SG	No. 10
energy relative to the elements, uncorrected	193	meV/atom

***

[17]
Here is crystalline ReSbPt2 at its relaxed geometry from the Alexandria database. Energies are from GGA-PBE.

Structure (extended XYZ):
```
8
Lattice="-5.8368 1.7427 -0.2185 -1.7287 -5.5666 1.7827 -3.5113 -0.3636 5.8803" Properties=species:S:1:pos:R:3 pbc="T T T"
Re 0.0000 0.0000 0.0000
Re -6.5655 -0.2664 3.2219
Pt -2.5124 -3.4046 2.5635
Pt -4.9174 0.3548 1.5498
Pt -5.4186 -1.5393 4.9432
Pt -9.3053 -3.7859 5.8324
Sb -3.7828 -1.9120 0.7821
Sb -4.5114 -3.9211 4.2225
```

Values from the calculation:
SG	No. 122
energy relative to the elements, uncorrected	575	meV/atom

***

[18]
Here is crystalline Re4SbPt at its relaxed geometry from the Alexandria database. Energies are from GGA-PBE.

Structure (extended XYZ):
```
6
Lattice="4.3378 -1.1886 2.7207 0.4382 -4.6916 2.3299 3.3848 -3.5589 -1.8733" Properties=species:S:1:pos:R:3 pbc="T T T"
Re 3.0396 -3.5158 1.1835
Re 4.7663 -5.3313 0.2279
Re 5.2524 -4.1221 2.5714
Re 3.2631 -5.9091 2.3720
Pt 0.0000 0.0000 0.0000
Sb 6.1205 -7.0793 2.3830
```

Values from the calculation:
SG	No. 216
energy relative to the elements, uncorrected	710	meV/atom

***

[19]
Here is crystalline ReSb2TePt at its relaxed geometry from the Alexandria database. Energies are from GGA-PBE.

Structure (extended XYZ):
```
5
Lattice="-4.7462 2.0005 -0.0108 -1.8618 -4.4067 1.9086 0.7582 1.8256 4.9545" Properties=species:S:1:pos:R:3 pbc="T T T"
Pt 0.0000 0.0000 0.0000
Sb -2.3731 1.0003 -0.0054
Sb -0.9309 -2.2033 0.9543
Te 0.3791 0.9128 2.4772
Re -2.9249 -0.2903 3.4261
```

Values from the calculation:
SG	No. 123
offset from the most stable computed form	0.3821	eV per atom
energy relative to the elements, uncorrected	1329	meV/atom

***

[20]
Here is crystalline ReSb2TePt at its relaxed geometry from the Alexandria database. Energies are from GGA-PBE.

Structure (extended XYZ):
```
5
Lattice="5.1280 0.0000 0.0000 0.0000 5.1280 0.0000 0.0000 0.0000 5.1041" Properties=species:S:1:pos:R:3 pbc="T T T"
Sb 0.0000 2.5640 0.0000
Sb 2.5640 0.0000 0.0000
Re 0.0000 0.0000 0.0000
Te 0.0000 0.0000 2.5520
Pt 2.5640 2.5640 2.5520
```

Values from the calculation:
SG	No. 123
offset from the most stable computed form	0.0000	eV per atom
energy relative to the elements, uncorrected	947	meV/atom

***

[21]
Here is crystalline TlReSb2Pt at its relaxed geometry from the Alexandria database. Energies are from GGA-PBE.

Structure (extended XYZ):
```
5
Lattice="-3.5155 -0.7896 3.6699 3.2501 -3.0879 2.4490 1.8398 4.0203 2.6274" Properties=species:S:1:pos:R:3 pbc="T T T"
Tl 0.7872 0.0714 4.3732
Pt 1.6250 -1.5439 1.2245
Re 0.0000 0.0000 0.0000
Sb 0.9199 2.0101 1.3137
Sb -1.7578 -0.3948 1.8350
```

Values from the calculation:
SG	No. 123
energy relative to the elements, uncorrected	570	meV/atom

***

[22]
Here is crystalline TlReSbPt2 at its relaxed geometry from the Alexandria database. Energies are from GGA-PBE.

Structure (extended XYZ):
```
5
Lattice="4.9698 0.0000 0.0000 0.0000 5.5398 0.0000 0.0000 0.0000 4.9698" Properties=species:S:1:pos:R:3 pbc="T T T"
Sb 0.0000 0.0000 0.0000
Pt 0.0000 0.0000 2.4849
Pt 2.4849 0.0000 0.0000
Re 2.4849 2.7699 2.4849
Tl 0.0000 2.7699 0.0000
```

Values from the calculation:
SG	No. 123
energy relative to the elements, uncorrected	1643	meV/atom

***

[23]
Here is crystalline ZnReSbPt2 at its relaxed geometry from the Alexandria database. Energies are from GGA-PBE.

Structure (extended XYZ):
```
5
Lattice="-0.9275 -1.6073 4.5134 2.6594 -4.0638 -0.9006 4.0064 2.2610 1.6285" Properties=species:S:1:pos:R:3 pbc="T T T"
Sb 0.0000 0.0000 0.0000
Re 1.3297 -2.0319 -0.4503
Pt 2.0032 1.1305 0.8142
Pt -0.4638 -0.8036 2.2567
Zn 2.8691 -1.7050 2.6206
```

Values from the calculation:
SG	No. 123
energy relative to the elements, uncorrected	1439	meV/atom

***

[24]
Here is crystalline ScRePt at its relaxed geometry from the Alexandria database. Energies are from GGA-PBE.

Structure (extended XYZ):
```
3
Lattice="4.3572 0.0000 0.0000 2.1786 3.7734 0.0000 2.1786 1.2578 3.5576" Properties=species:S:1:pos:R:3 pbc="T T T"
Sc 6.5358 3.7734 2.6682
Pt 0.0000 0.0000 0.0000
Re 4.3572 2.5156 1.7788
```

Values from the calculation:
SG	No. 216
offset from the most stable computed form	1.0324	eV per atom
energy relative to the elements	65	kJ/mol of atoms

***

[25]
Here is crystalline ScRe2Pt at its relaxed geometry from the Alexandria database. Energies are from GGA-PBE.

Structure (extended XYZ):
```
4
Lattice="-2.5838 -0.9396 -0.8371 0.9585 -3.6174 1.1021 -2.1247 1.0694 5.3578" Properties=species:S:1:pos:R:3 pbc="T T T"
Pt -2.3795 -1.4899 4.0836
Sc -1.1009 0.5541 2.7762
Re -1.2643 -2.0512 1.2714
Re -0.0676 0.0340 0.1705
```

Values from the calculation:
SG	No. 25
offset from the most stable computed form	0.0405	eV per atom
energy relative to the elements	-21	kJ/mol of atoms

***

[26]
Here is crystalline Sc2RePt at its relaxed geometry from the Alexandria database. Energies are from GGA-PBE.

Structure (extended XYZ):
```
8
Lattice="7.2384 0.0000 0.0000 0.0000 7.2384 0.0000 3.6192 3.6192 2.8578" Properties=species:S:1:pos:R:3 pbc="T T T"
Re 3.6192 3.6192 0.0000
Re 3.6192 7.2384 1.4289
Pt 0.0000 0.0000 0.0000
Pt 7.2384 3.6192 1.4289
Sc 5.4900 1.8096 0.7144
Sc 5.4288 5.3676 2.1433
Sc 9.0480 9.1092 2.1433
Sc 1.7484 5.4288 0.7144
```

Values from the calculation:
SG	No. 122
energy relative to the elements	-1	kJ/mol of atoms

***

[27]
Here is crystalline Sc2RePt at its relaxed geometry from the Alexandria database. Energies are from GGA-PBE.

Structure (extended XYZ):
```
4
Lattice="-7.7762 -0.4154 3.8211 -7.2692 -3.4493 3.2409 -6.0752 -2.1272 5.8146" Properties=species:S:1:pos:R:3 pbc="T T T"
Sc -0.0440 -0.0125 0.0268
Sc -10.5163 -2.9835 6.4115
Re -15.8404 -4.4939 9.6575
Pt -5.2801 -1.4980 3.2192
```

Values from the calculation:
SG	No. 166
energy relative to the elements	-24	kJ/mol of atoms

***

[28]
Here is crystalline ScRe2Pt at its relaxed geometry from the Alexandria database. Energies are from GGA-PBE.

Structure (extended XYZ):
```
4
Lattice="5.2499 -0.0053 -0.0132 2.4599 4.6380 0.0132 -3.5645 -2.7997 2.6492" Properties=species:S:1:pos:R:3 pbc="T T T"
Pt 1.3751 2.0773 1.3312
Re 7.6894 4.6205 0.0000
Re 3.8753 2.3286 0.0000
Sc 2.7702 -0.2443 1.3180
```

Values from the calculation:
SG	No. 71
offset from the most stable computed form	0.1720	eV per atom
energy relative to the elements	-9	kJ/mol of atoms

***

[29]
Here is crystalline Sc2RePt at its relaxed geometry from the Alexandria database. Energies are from GGA-PBE.

Structure (extended XYZ):
```
4
Lattice="-3.2272 -1.1130 1.0774 1.4239 -3.1119 1.0503 0.9751 2.1982 5.1915" Properties=species:S:1:pos:R:3 pbc="T T T"
Re -0.1447 -0.4060 5.0938
Pt 0.4630 1.0438 2.4651
Sc -0.6233 -1.4849 2.5458
Sc 0.9394 2.1179 5.0016
```

Values from the calculation:
SG	No. 99
energy relative to the elements	-20	kJ/mol of atoms

***

[30]
Here is crystalline ScRe2Pt at its relaxed geometry from the Alexandria database. Energies are from GGA-PBE.

Structure (extended XYZ):
```
4
Lattice="2.9911 0.0000 0.0000 0.0000 2.9911 0.0000 0.0000 0.0000 7.4690" Properties=species:S:1:pos:R:3 pbc="T T T"
Re 1.4955 1.4955 1.6646
Re 0.0000 0.0000 0.1808
Sc 0.0000 0.0000 3.6977
Pt 1.4955 1.4955 5.6604
```

Values from the calculation:
SG	No. 99
offset from the most stable computed form	0.0000	eV per atom
energy relative to the elements	-25	kJ/mol of atoms

***

Summary of total magnetization in Bohr magnetons per cell
0.00; 0.00; 0.00; 0.00; 0.00; 0.00; 0.00; 0.00; 2.62; 0.00; 2.44; 0.00; 0.00; 0.00; 0.00; 0.00; 0.00; 0.00; 2.82; 0.00; 0.00; 4.73; 0.00; 1.74; 0.00; 0.00; 0.00; 0.00; 0.00; 0.00
(order as listed above)